This record from Alexandria describes an optimized crystal structure of NaLiZn2Ni. The functional is GGA-PBE.

**Polymorph energy (0 for the lowest one)**: 0.000 eV per formula unit
**Space group**: P4/mmm, No. 123
**Formation energy from the elements**: 0.0395 eV/atom

Lattice parameters (Å, degrees): 4.6410 4.6410 4.6377 90.00 90.00 90.00
Closest atoms and distances in Å follow each position.
Sites, in units of the cell vectors:
Ni 0.0000 0.0000 0.0000  2 Li 2.32, 4 Zn 2.32
Zn 0.0000 0.5000 0.0000  2 Ni 2.32
Zn 0.5000 0.0000 0.0000  2 Ni 2.32
Li 0.0000 0.0000 0.5000  2 Ni 2.32
Na 0.5000 0.5000 0.5000  8 Zn 3.28, 4 Li 3.28

This record from Alexandria describes an optimized crystal structure of HS2I. The functional is GGA-PBE.

**Polymorph energy (0 for the lowest one)**: 1.256 eV per formula unit
**Space group**: I4_1/amd, No. 141

Lattice parameters (Å, degrees): 4.8971 4.8971 7.2626 70.30 70.30 90.00
Closest atoms and distances in Å follow each position.
Sites, in units of the cell vectors:
I 0.0000 0.0000 0.0000  8 S 3.17, 4 H 3.46
I 0.7500 0.2500 0.5000  8 S 3.17, 4 H 3.46
H 0.5000 0.5000 0.0000  4 S 2.01
H 0.2500 0.7500 0.5000  4 S 2.01
S 0.3753 0.1250 0.2500  2 H 2.01
S 0.3747 0.6250 0.2500  2 H 2.01
S 0.3750 0.6247 0.7500  2 H 2.01
S 0.8750 0.6253 0.7500  2 H 2.01

This record from Alexandria describes an optimized crystal structure of BaSeSCl2. The functional is GGA-PBE.

**Polymorph energy (0 for the lowest one)**: 3.294 eV per formula unit
**Space group**: P4/mmm, No. 123
**Raw formation energy**: -7.2 kcal/mol of atoms

Lattice parameters (Å, degrees): 5.9279 5.9279 6.2719 90.00 90.00 90.00
Closest atoms and distances in Å follow each position.
Sites, in units of the cell vectors:
S 0.0000 0.0000 0.5000  2 Ba 3.14
Ba 0.0000 0.0000 0.0000  4 Cl 2.96, 2 S 3.14
Se 0.5000 0.5000 0.5000  4 S 4.19, 8 Cl 4.31
Cl 0.0000 0.5000 0.0000  2 Ba 2.96
Cl 0.5000 0.0000 0.0000  2 Ba 2.96

This record from Alexandria describes an optimized crystal structure of MnRh2Cl. The functional is GGA-PBE.

**Polymorph energy (0 for the lowest one)**: 1.104 eV per formula unit
**Space group**: Imm2, No. 44
**Raw formation energy**: 8.1 kcal/mol of atoms

Lattice parameters (Å, degrees): 5.2517 5.2517 5.2517 147.92 129.33 61.24
Closest atoms and distances in Å follow each position.
Sites, in units of the cell vectors:
Cl 0.4981 0.4981 0.0000  6 Rh 2.56-2.67, 2 Mn 2.60
Mn 0.7367 0.2367 0.5000  2 Cl 2.60, 6 Rh 2.69-2.79, 2 Mn 2.90
Rh 0.0004 0.0004 0.0000  4 Cl 2.67, 2 Mn 2.79, 4 Rh 2.80-2.90
Rh 0.2648 0.7648 0.5000  2 Cl 2.56, 4 Mn 2.69, 2 Rh 2.80

This record from Alexandria describes an optimized crystal structure of Sr2TaAl. The functional is GGA-PBE.

**Space group**: Cm, No. 8
**Formation energy from the elements**: 0.5068 eV/atom

Lattice parameters (Å, degrees): 6.4524 6.4524 5.9842 70.23 70.23 29.72
Closest atoms and distances in Å follow each position.
Sites, in units of the cell vectors:
Sr 0.9705 0.9705 0.0692  3 Sr 3.31-3.68, 3 Al 3.44-3.48, 4 Ta 3.49-3.57
Sr 0.7711 0.7711 0.6913  3 Sr 3.31-3.68, 3 Ta 3.36-3.61, 4 Al 3.48-3.49
Al 0.2126 0.2126 0.2325  2 Ta 2.72
Ta 0.5458 0.5458 0.5070  2 Al 2.72

This record from Alexandria describes an optimized crystal structure of KTaTc2. The functional is GGA-PBE.

**Polymorph energy (0 for the lowest one)**: 1.140 eV per formula unit
**Space group**: C2/m, No. 12
**Formation energy from the elements**: 0.8427 eV/atom

Lattice parameters (Å, degrees): 4.3967 4.3967 7.5099 85.43 85.43 40.13
Closest atoms and distances in Å follow each position.
Sites, in units of the cell vectors:
K 0.2500 0.2500 0.2500  2 K 3.02, 2 Tc 3.34
Ta 0.7500 0.7500 0.7500  6 Tc 2.60-2.61
Tc 0.0224 0.0224 0.9024  3 Ta 2.60-2.61, 2 Tc 2.79
Tc 0.4776 0.4776 0.5976  3 Ta 2.60-2.61, 2 Tc 2.79

This record from Alexandria describes an optimized crystal structure of CuAg6Br12. The functional is GGA-PBE.

**Space group**: R-3, No. 148
**Raw formation energy**: -5.1 kcal/mol of atoms

Lattice parameters (Å, degrees): 8.4605 8.4605 8.4605 84.90 84.90 84.90
Closest atoms and distances in Å follow each position.
Sites, in units of the cell vectors:
Cu 0.0000 0.0000 0.0000  6 Br 2.56
Ag 0.1039 0.2895 0.5975  4 Br 2.65-2.72
Ag 0.7105 0.4025 0.8961  4 Br 2.65-2.72
Ag 0.4025 0.8961 0.7105  4 Br 2.65-2.72
Ag 0.8961 0.7105 0.4025  4 Br 2.65-2.72
Ag 0.2895 0.5975 0.1039  4 Br 2.65-2.72
Ag 0.5975 0.1039 0.2895  4 Br 2.65-2.72
Br 0.4077 0.1836 0.5526  3 Ag 2.65-2.72
Br 0.1836 0.5526 0.4077  3 Ag 2.65-2.72
Br 0.5526 0.4077 0.1836  3 Ag 2.65-2.72
Br 0.5923 0.8164 0.4474  3 Ag 2.65-2.72
Br 0.8164 0.4474 0.5923  3 Ag 2.65-2.72
Br 0.4474 0.5923 0.8164  3 Ag 2.65-2.72
Br 0.0240 0.9961 0.6964  1 Cu 2.56, 1 Ag 2.67
Br 0.3036 0.9760 0.0039  1 Cu 2.56, 1 Ag 2.67
Br 0.0039 0.3036 0.9760  1 Cu 2.56, 1 Ag 2.67
Br 0.9760 0.0039 0.3036  1 Cu 2.56, 1 Ag 2.67
Br 0.6964 0.0240 0.9961  1 Cu 2.56, 1 Ag 2.67
Br 0.9961 0.6964 0.0240  1 Cu 2.56, 1 Ag 2.67

This record from Alexandria describes an optimized crystal structure of EuCo2P2. The functional is GGA-PBE.

**Space group**: I4/mmm, No. 139
**Formation energy from the elements**: -0.8974 eV/atom

Lattice parameters (Å, degrees): 6.1797 6.1797 6.1797 144.75 144.75 50.71
Closest atoms and distances in Å follow each position.
Sites, in units of the cell vectors:
Eu 0.0000 0.0000 0.0000  8 P 3.10, 8 Co 3.36
Co 0.7500 0.2500 0.5000  4 P 2.21
Co 0.2500 0.7500 0.5000  4 P 2.21
P 0.6445 0.6445 0.0000  4 Co 2.21
P 0.3555 0.3555 0.0000  4 Co 2.21

This record from Alexandria describes an optimized crystal structure of LiSiSn3. The functional is GGA-PBE.

**Polymorph energy (0 for the lowest one)**: 0.000 eV per formula unit
**Space group**: Pm-3m, No. 221
**Raw formation energy**: 8.9 kcal/mol of atoms

Lattice parameters (Å, degrees): 5.2671 5.2671 5.2671 90.00 90.00 90.00
Closest atoms and distances in Å follow each position.
Sites, in units of the cell vectors:
Si 0.0000 0.0000 0.0000  6 Sn 2.63
Sn 0.0000 0.5000 0.0000  2 Si 2.63
Sn 0.0000 0.0000 0.5000  2 Si 2.63
Sn 0.5000 0.0000 0.0000  2 Si 2.63
Li 0.5000 0.5000 0.5000  12 Sn 3.72

This record from Alexandria describes an optimized crystal structure of MnAg4Au4. The functional is GGA-PBE.

**Space group**: I4/mmm, No. 139
**Formation energy from the elements**: 0.0094 eV/atom

Lattice parameters (Å, degrees): 4.2113 6.4973 6.4973 83.97 71.09 71.09
Closest atoms and distances in Å follow each position.
Sites, in units of the cell vectors:
Mn 0.0000 0.0000 0.0000  4 Au 2.84, 8 Ag 2.92
Ag 0.3356 0.3288 0.0000  4 Ag 2.86-2.98, 6 Au 2.91-2.92, 2 Mn 2.92
Ag 0.6644 0.6712 0.0000  4 Ag 2.86-2.98, 6 Au 2.91-2.92, 2 Mn 2.92
Ag 0.6644 0.0000 0.6712  4 Ag 2.86-2.98, 6 Au 2.91-2.92, 2 Mn 2.92
Ag 0.3356 0.0000 0.3288  4 Ag 2.86-2.98, 6 Au 2.91-2.92, 2 Mn 2.92
Au 0.0000 0.6728 0.3272  1 Mn 2.84, 6 Ag 2.91-2.92, 5 Au 2.99-3.00
Au 0.0000 0.3272 0.6728  1 Mn 2.84, 6 Ag 2.91-2.92, 5 Au 2.99-3.00
Au 0.6728 0.3272 0.3272  1 Mn 2.84, 6 Ag 2.91-2.92, 5 Au 2.99-3.00
Au 0.3272 0.6728 0.6728  1 Mn 2.84, 6 Ag 2.91-2.92, 5 Au 2.99-3.00

This record from Alexandria describes an optimized crystal structure of HfGaNi6. The functional is GGA-PBE.

**Polymorph energy (0 for the lowest one)**: 0.463 eV per formula unit
**Space group**: P-6m2, No. 187
**Formation energy from the elements**: -0.3437 eV/atom

Lattice parameters (Å, degrees): 4.1669 5.2183 5.2183 119.99 90.00 90.00
Closest atoms and distances in Å follow each position.
Sites, in units of the cell vectors:
Hf 0.5000 0.4165 0.5835  12 Ni 2.61-2.62
Ga 0.0000 0.0834 0.9166  12 Ni 2.58-2.61
Ni 0.0000 0.0660 0.4080  8 Ni 2.47-2.75, 2 Ga 2.61, 2 Hf 2.62
Ni 0.0000 0.5920 0.9340  8 Ni 2.47-2.75, 2 Ga 2.61, 2 Hf 2.62
Ni 0.0000 0.5919 0.4081  8 Ni 2.47-2.74, 2 Ga 2.61, 2 Hf 2.62
Ni 0.5000 0.4201 0.0852  8 Ni 2.54-2.64, 2 Ga 2.58, 2 Hf 2.61
Ni 0.5000 0.9148 0.5799  8 Ni 2.54-2.64, 2 Ga 2.58, 2 Hf 2.61
Ni 0.5000 0.9149 0.0851  8 Ni 2.54-2.64, 2 Ga 2.58, 2 Hf 2.61

This record from Alexandria describes an optimized crystal structure of La6Nd5Ho2. The functional is GGA-PBE.

**Space group**: Pbam, No. 55
**Formation energy from the elements**: 0.0651 eV/atom

Lattice parameters (Å, degrees): 3.6903 11.8258 21.3870 90.00 90.00 90.00
Closest atoms and distances in Å follow each position.
Sites, in units of the cell vectors:
La 0.0000 0.1702 0.3813  1 Ho 3.34, 4 La 3.55-3.69, 2 Nd 3.73
La 0.0000 0.8298 0.6187  1 Ho 3.34, 4 La 3.55-3.69, 2 Nd 3.73
La 0.0000 0.6702 0.1187  1 Ho 3.34, 4 La 3.55-3.69, 2 Nd 3.73
La 0.0000 0.3298 0.8813  1 Ho 3.34, 4 La 3.55-3.69, 2 Nd 3.73
La 0.5000 0.4203 0.1499  2 Nd 3.34-3.49, 2 Ho 3.47, 6 La 3.55-3.69
La 0.5000 0.5797 0.8501  2 Nd 3.34-3.49, 2 Ho 3.47, 6 La 3.55-3.69
La 0.5000 0.9203 0.3501  2 Nd 3.34-3.49, 2 Ho 3.47, 6 La 3.55-3.69
La 0.5000 0.0797 0.6499  2 Nd 3.34-3.49, 2 Ho 3.47, 6 La 3.55-3.69
La 0.0000 0.7160 0.4475  5 La 3.69-3.90, 8 Nd 3.73-4.11
La 0.0000 0.2840 0.5525  5 La 3.69-3.90, 8 Nd 3.73-4.11
La 0.0000 0.2160 0.0525  5 La 3.69-3.90, 8 Nd 3.73-4.11
La 0.0000 0.7840 0.9475  5 La 3.69-3.90, 8 Nd 3.73-4.11
Nd 0.5000 0.4455 0.4233  2 Ho 3.51, 3 Nd 3.52-3.69, 6 La 3.73-3.85
Nd 0.5000 0.5545 0.5767  2 Ho 3.51, 3 Nd 3.52-3.69, 6 La 3.73-3.85
Nd 0.5000 0.9455 0.0767  2 Ho 3.51, 3 Nd 3.52-3.69, 6 La 3.73-3.85
Nd 0.5000 0.0545 0.9233  2 Ho 3.51, 3 Nd 3.52-3.69, 6 La 3.73-3.85
Nd 0.5000 0.6542 0.2793  3 La 3.49-3.90, 4 Ho 3.59-3.67, 2 Nd 3.69
Nd 0.5000 0.3458 0.7207  3 La 3.49-3.90, 4 Ho 3.59-3.67, 2 Nd 3.69
Nd 0.5000 0.1542 0.2207  3 La 3.49-3.90, 4 Ho 3.59-3.67, 2 Nd 3.69
Nd 0.5000 0.8458 0.7793  3 La 3.49-3.90, 4 Ho 3.59-3.67, 2 Nd 3.69
Nd 0.5000 0.5000 0.0000  6 La 3.34-3.73, 2 Nd 3.69
Nd 0.5000 0.0000 0.5000  6 La 3.34-3.73, 2 Nd 3.69
Ho 0.0000 0.3945 0.2866  3 La 3.34-3.47, 6 Nd 3.51-3.67, 2 Ho 3.69
Ho 0.0000 0.6055 0.7134  3 La 3.34-3.47, 6 Nd 3.51-3.67, 2 Ho 3.69
Ho 0.0000 0.8945 0.2134  3 La 3.34-3.47, 6 Nd 3.51-3.67, 2 Ho 3.69
Ho 0.0000 0.1055 0.7866  3 La 3.34-3.47, 6 Nd 3.51-3.67, 2 Ho 3.69